No. 1
First-principles (PBE) data for an optimized crystal structure of BaBe2HgF8, as listed in Alexandria.

a = 4.8967 Å, b = 4.8967 Å, c = 8.3659 Å
α = 86.30°, β = 86.30°, γ = 68.27°
Last column: nearest neighbours and their distance in Å.
Positions (direct):
F 0.6905 0.6905 0.4018  1 Be 1.57
F 0.2690 0.7404 0.2316  1 Be 1.57
F 0.7404 0.2690 0.2316  1 Be 1.57
Ba 0.0000 0.0000 0.5000  6 F 2.67-2.70
F 0.7321 0.7321 0.0797  1 Be 1.56
F 0.3095 0.3095 0.5982  1 Be 1.57
Be 0.3866 0.3866 0.7648  4 F 1.56-1.57
Hg 0.0000 0.0000 0.0000  6 F 2.22-2.42
Be 0.6134 0.6134 0.2352  4 F 1.56-1.57
F 0.7310 0.2596 0.7684  1 Be 1.57
F 0.2679 0.2679 0.9203  1 Be 1.56
F 0.2596 0.7310 0.7684  1 Be 1.57

Output
As for the uncorrected formation energy: -35.60 eV per formula unit.



No. 2
First-principles (PBE) data for an optimized crystal structure of Nd2TmTl, as listed in Alexandria.

a = 5.0126 Å, b = 4.8928 Å, c = 4.8928 Å
α = 90.00°, β = 90.00°, γ = 90.00°
Last column: nearest neighbours and their distance in Å.
Positions (direct):
Nd 0.0000 0.5000 0.0000  4 Nd 3.46, 4 Tm 3.50, 4 Tl 3.50
Nd 0.0000 0.0000 0.5000  4 Nd 3.46, 4 Tm 3.50, 4 Tl 3.50
Tm 0.5000 0.5000 0.5000  4 Tl 3.46, 8 Nd 3.50
Tl 0.5000 0.0000 0.0000  4 Tm 3.46, 8 Nd 3.50

Output
The energy of formation is -0.190 eV per atom. As for the energy relative to the lowest polymorph listed for this composition: 0.000 eV/atom.



No. 3
First-principles (PBE) data for an optimized crystal structure of DyZnTe2O8, as listed in Alexandria.

a = 6.1004 Å, b = 6.1004 Å, c = 6.1004 Å
α = 107.96°, β = 107.96°, γ = 112.54°
Last column: nearest neighbours and their distance in Å.
Positions (direct):
O 0.9454 0.2510 0.3056  1 Te 1.92
Zn 0.0000 0.0000 0.0000  4 O 2.22
Te 0.5000 0.5000 0.0000  4 O 1.86
O 0.3126 0.1233 0.8106  1 Te 1.86
Dy 0.2500 0.7500 0.5000  8 O 2.27-2.49
O 0.3126 0.5020 0.1894  1 Te 1.86
O 0.9454 0.6398 0.6944  1 Te 1.92
Te 0.7500 0.2500 0.5000  4 O 1.92
O 0.4980 0.6874 0.8106  1 Te 1.86
O 0.8767 0.6874 0.1894  1 Te 1.86
O 0.7490 0.0546 0.6944  1 Te 1.92
O 0.3602 0.0546 0.3056  1 Te 1.92

Output
As for the uncorrected formation energy: -16.48 eV per formula unit.



No. 4
First-principles (PBE) data for an optimized crystal structure of LiMgCd5, as listed in Alexandria.

a = 4.7026 Å, b = 4.7026 Å, c = 6.9159 Å
α = 90.00°, β = 90.00°, γ = 90.00°
Last column: nearest neighbours and their distance in Å.
Positions (direct):
Cd 0.5000 0.5000 0.0000  8 Cd 3.07, 4 Mg 3.33
Cd 0.5000 0.0000 0.2859  2 Li 2.78, 3 Cd 2.96-3.07, 2 Mg 3.07
Li 0.0000 0.0000 0.5000  8 Cd 2.78
Cd 0.0000 0.5000 0.7141  2 Li 2.78, 3 Cd 2.96-3.07, 2 Mg 3.07
Cd 0.5000 0.0000 0.7141  2 Li 2.78, 3 Cd 2.96-3.07, 2 Mg 3.07
Mg 0.0000 0.0000 0.0000  12 Cd 3.07-3.33
Cd 0.0000 0.5000 0.2859  2 Li 2.78, 3 Cd 2.96-3.07, 2 Mg 3.07

Output
The energy of formation is -0.087 eV per atom. As for the energy relative to the lowest polymorph listed for this composition: 0.000 eV/atom.



No. 5
First-principles (PBE) data for an optimized crystal structure of Li3LaPm2S6, as listed in Alexandria.

a = 7.0574 Å, b = 7.0574 Å, c = 6.6251 Å
α = 100.13°, β = 100.13°, γ = 120.06°
Last column: nearest neighbours and their distance in Å.
Positions (direct):
Pm 0.3338 0.6662 0.0000  6 S 2.82
Li 0.1732 0.8268 0.5000  6 S 2.71-2.88
Li 0.5000 0.5000 0.5000  6 S 2.75-2.82
Li 0.8268 0.1732 0.5000  6 S 2.71-2.88
La 0.0000 0.0000 0.0000  6 S 2.87
S 0.4237 0.0845 0.2556  3 Li 2.71-2.82, 2 Pm 2.82, 1 La 2.87
S 0.7455 0.7455 0.2563  3 Li 2.75-2.88, 2 Pm 2.82, 1 La 2.87
Pm 0.6662 0.3338 0.0000  6 S 2.82
S 0.0845 0.4237 0.2556  3 Li 2.71-2.82, 2 Pm 2.82, 1 La 2.87
S 0.2545 0.2545 0.7437  3 Li 2.75-2.88, 2 Pm 2.82, 1 La 2.87
S 0.5763 0.9155 0.7444  3 Li 2.71-2.82, 2 Pm 2.82, 1 La 2.87
S 0.9155 0.5763 0.7444  3 Li 2.71-2.82, 2 Pm 2.82, 1 La 2.87

Output
As for the uncorrected formation energy: -21.70 eV per formula unit.



No. 6
First-principles (PBE) data for an optimized crystal structure of CaTbCuSe3, as listed in Alexandria.

a = 4.0098 Å, b = 8.2850 Å, c = 9.0363 Å
α = 102.43°, β = 90.00°, γ = 90.00°
Last column: nearest neighbours and their distance in Å.
Positions (direct):
Se 0.2500 0.0882 0.8595  1 Cu 2.49
Cu 0.7500 0.9192 0.4177  4 Se 2.49-2.54, 2 Cu 2.68
Tb 0.2500 0.6750 0.1718  6 Se 2.83-2.95
Se 0.2500 0.5766 0.8384  3 Tb 2.88-2.95, 2 Ca 3.02
Ca 0.2500 0.1863 0.2458  6 Se 3.02-3.06, 1 Cu 3.34
Se 0.2500 0.7680 0.4927  3 Cu 2.53-2.54, 1 Tb 2.83
Cu 0.2500 0.0808 0.5823  4 Se 2.49-2.54, 2 Cu 2.68
Tb 0.7500 0.3250 0.8282  6 Se 2.83-2.95
Se 0.7500 0.2320 0.5073  3 Cu 2.53-2.54, 1 Tb 2.83
Se 0.7500 0.9118 0.1405  1 Cu 2.49
Se 0.7500 0.4234 0.1616  3 Tb 2.88-2.95, 2 Ca 3.02
Ca 0.7500 0.8137 0.7542  6 Se 3.02-3.06, 1 Cu 3.34

Output
As for the uncorrected formation energy: -9.01 eV per formula unit.



No. 7
First-principles (PBE) data for an optimized crystal structure of KPaAlN3, as listed in Alexandria.

a = 3.5542 Å, b = 7.8999 Å, c = 8.1812 Å
α = 104.25°, β = 90.00°, γ = 90.00°
Last column: nearest neighbours and their distance in Å.
Positions (direct):
N 0.2500 0.1634 0.8364  1 Al 1.87
K 0.2500 0.1896 0.2090  7 N 3.00-3.33
N 0.2500 0.5283 0.8730  3 Pa 2.27-2.28
Pa 0.7500 0.3438 0.8449  5 N 2.27-2.28
K 0.7500 0.8104 0.7910  7 N 3.00-3.33
N 0.7500 0.4717 0.1270  3 Pa 2.27-2.28
N 0.7500 0.8366 0.1636  1 Al 1.87
N 0.7500 0.1473 0.5412  3 Al 1.91-1.94
N 0.2500 0.8527 0.4588  3 Al 1.91-1.94
Al 0.7500 0.9159 0.3989  4 N 1.87-1.94
Pa 0.2500 0.6562 0.1551  5 N 2.27-2.28
Al 0.2500 0.0841 0.6011  4 N 1.87-1.94

Output
As for the uncorrected formation energy: -6.78 eV per formula unit.



No. 8
First-principles (PBE) data for an optimized crystal structure of FeCo4Ge, as listed in Alexandria.

a = 5.4518 Å, b = 5.3125 Å, c = 5.3125 Å
α = 90.00°, β = 90.00°, γ = 90.01°
Last column: nearest neighbours and their distance in Å.
Positions (direct):
Ge 0.0000 0.7500 0.2504  8 Co 2.34
Co 0.7425 0.0000 0.5000  2 Fe 2.30, 2 Ge 2.34
Fe 0.5000 0.2500 0.2496  8 Co 2.30
Co 0.2569 0.0000 0.0000  2 Fe 2.30, 2 Ge 2.34
Co 0.2575 0.5000 0.5000  2 Fe 2.30, 2 Ge 2.34
Co 0.7431 0.5000 0.0000  2 Fe 2.30, 2 Ge 2.34
Co 0.2575 0.0000 0.5000  2 Fe 2.30, 2 Ge 2.34
Co 0.7425 0.5000 0.5000  2 Fe 2.30, 2 Ge 2.34
Fe 0.5000 0.7500 0.7504  8 Co 2.30
Ge 0.0000 0.2500 0.7496  8 Co 2.34
Co 0.2569 0.5000 0.0000  2 Fe 2.30, 2 Ge 2.34
Co 0.7431 0.0000 0.0000  2 Fe 2.30, 2 Ge 2.34

Output
The energy of formation is 0.369 eV per atom. As for the energy relative to the lowest polymorph listed for this composition: 0.422 eV/atom.